Compound: LaBeMo3
Source: Alexandria via LeMat-Bulk
Functional: GGA-PBEsol
Structure: optimized geometry

Calculated volume ... 17.566 Å³ per atom
DFT total energy ... -7.9924 eV per atom
E above lowest polymorph ... 0.00 eV per formula unit

Unit cell a=4.4451 b=4.4451 c=4.4451 alpha=90.00 beta=90.00 gamma=90.00
Last column: nearest neighbours and their distance in Å.
Fractional coordinates of all 5 atoms:
La: 0.0000 0.0000 0.0000  12 Mo 3.14
Be: 0.5000 0.5000 0.5000  6 Mo 2.22
Mo: 0.0000 0.5000 0.5000  2 Be 2.22
Mo: 0.5000 0.0000 0.5000  2 Be 2.22
Mo: 0.5000 0.5000 0.0000  2 Be 2.22

Compound: LaBeMo3
Source: Alexandria via LeMat-Bulk
Functional: GGA-PBEsol
Structure: optimized geometry

Calculated volume ... 20.562 Å³ per atom
DFT total energy ... -6.3666 eV per atom
E above lowest polymorph ... 8.13 eV per formula unit

Unit cell a=4.6846 b=4.6846 c=4.6846 alpha=90.00 beta=90.00 gamma=90.00
Last column: nearest neighbours and their distance in Å.
Fractional coordinates of all 5 atoms:
La: 0.0000 0.0000 0.0000  6 Mo 2.34
Be: 0.5000 0.5000 0.5000  12 Mo 3.31
Mo: 0.0000 0.0000 0.5000  2 La 2.34
Mo: 0.0000 0.5000 0.0000  2 La 2.34
Mo: 0.5000 0.0000 0.0000  2 La 2.34

Compound: La2BeMo
Source: Alexandria via LeMat-Bulk
Functional: GGA-PBEsol
Structure: optimized geometry

Calculated volume ... 23.037 Å³ per atom
DFT total energy ... -6.3851 eV per atom

Unit cell a=3.3934 b=3.3934 c=8.0025 alpha=90.00 beta=90.00 gamma=90.00
Last column: nearest neighbours and their distance in Å.
Fractional coordinates of all 4 atoms:
La: 0.0000 0.0000 0.0000  1 Mo 2.52
La: 0.5000 0.5000 0.4233  1 Be 2.80
Be: 0.5000 0.5000 0.7733  4 Mo 2.50, 1 La 2.80
Mo: 0.0000 0.0000 0.6846  4 Be 2.50, 1 La 2.52

Compound: La3BeN
Source: Alexandria via LeMat-Bulk
Functional: GGA-PBEsol
Structure: optimized geometry

Calculated volume ... 25.986 Å³ per atom
DFT total energy ... -4.7168 eV per atom
ΔE_f (raw) ... 1.00 eV/atom

Unit cell a=5.0649 b=5.0649 c=5.0649 alpha=90.00 beta=90.00 gamma=90.00
Last column: nearest neighbours and their distance in Å.
Fractional coordinates of all 5 atoms:
La: 0.0000 0.0000 0.5000  2 Be 2.53
La: 0.0000 0.5000 0.0000  2 Be 2.53
La: 0.5000 0.0000 0.0000  2 Be 2.53
Be: 0.0000 0.0000 0.0000  6 La 2.53
N: 0.5000 0.5000 0.5000  12 La 3.58

Compound: LaBe3N
Source: Alexandria via LeMat-Bulk
Functional: GGA-PBEsol
Structure: optimized geometry

Calculated volume ... 33.439 Å³ per atom
DFT total energy ... -2.1240 eV per atom
ΔE_f (raw) ... 3.05 eV/atom

Unit cell a=5.5090 b=5.5090 c=5.5090 alpha=90.00 beta=90.00 gamma=90.00
Last column: nearest neighbours and their distance in Å.
Fractional coordinates of all 5 atoms:
La: 0.0000 0.0000 0.0000  6 Be 2.75
Be: 0.0000 0.0000 0.5000  2 La 2.75
Be: 0.0000 0.5000 0.0000  2 La 2.75
Be: 0.5000 0.0000 0.0000  2 La 2.75
N: 0.5000 0.5000 0.5000  12 Be 3.90

Compound: LaBeNO2
Source: Alexandria via LeMat-Bulk
Functional: GGA-PBEsol
Structure: optimized geometry

Calculated volume ... 10.082 Å³ per atom
DFT total energy ... -7.3795 eV per atom
ΔE_f (raw) ... -1.71 eV/atom

Unit cell a=3.7633 b=3.7633 c=3.5594 alpha=90.00 beta=90.00 gamma=90.00
Last column: nearest neighbours and their distance in Å.
Fractional coordinates of all 5 atoms:
La: 0.0000 0.0000 0.0000  8 O 2.59, 4 N 2.66
Be: 0.5000 0.5000 0.5000  2 N 1.78, 4 O 1.88
N: 0.5000 0.5000 0.0000  2 Be 1.78
O: 0.0000 0.5000 0.5000  2 Be 1.88
O: 0.5000 0.0000 0.5000  2 Be 1.88

Compound: NaLa2BePt
Source: Alexandria via LeMat-Bulk
Functional: GGA-PBEsol
Structure: optimized geometry

Calculated volume ... 25.806 Å³ per atom
DFT total energy ... -4.6357 eV per atom

Unit cell a=5.5375 b=5.5375 c=4.2079 alpha=90.00 beta=90.00 gamma=90.00
Last column: nearest neighbours and their distance in Å.
Fractional coordinates of all 5 atoms:
Na: 0.0000 0.0000 0.0000  8 La 3.48
La: 0.0000 0.5000 0.5000  2 Be 2.77
La: 0.5000 0.0000 0.5000  2 Be 2.77
Be: 0.5000 0.5000 0.5000  2 Pt 2.10
Pt: 0.5000 0.5000 0.0000  2 Be 2.10

Compound: LaBeNbSi2
Source: Alexandria via LeMat-Bulk
Functional: GGA-PBEsol
Structure: optimized geometry

Calculated volume ... 23.043 Å³ per atom
DFT total energy ... -4.4417 eV per atom
ΔE_f (raw) ... 1.89 eV/atom

Unit cell a=5.0579 b=5.0579 c=4.5036 alpha=90.00 beta=90.00 gamma=90.00
Last column: nearest neighbours and their distance in Å.
Fractional coordinates of all 5 atoms:
La: 0.0000 0.0000 0.0000  2 Be 2.25
Be: 0.0000 0.0000 0.5000  2 La 2.25
Nb: 0.5000 0.5000 0.5000  8 Si 3.39, 4 Be 3.58
Si: 0.0000 0.5000 0.0000  2 La 2.53
Si: 0.5000 0.0000 0.0000  2 La 2.53

Compound: LaTaBeNb2
Source: Alexandria via LeMat-Bulk
Functional: GGA-PBEsol
Structure: optimized geometry

Calculated volume ... 26.026 Å³ per atom
DFT total energy ... -7.0582 eV per atom

Unit cell a=4.8906 b=4.8906 c=5.4406 alpha=90.00 beta=90.00 gamma=90.00
Last column: nearest neighbours and their distance in Å.
Fractional coordinates of all 5 atoms:
La: 0.0000 0.0000 0.0000  2 Ta 2.72
Ta: 0.0000 0.0000 0.5000  4 Nb 2.45, 2 La 2.72
Be: 0.5000 0.5000 0.0000  4 La 3.46, 8 Nb 3.66
Nb: 0.0000 0.5000 0.5000  2 Ta 2.45
Nb: 0.5000 0.0000 0.5000  2 Ta 2.45

Compound: LaBe3Ni
Source: Alexandria via LeMat-Bulk
Functional: GGA-PBEsol
Structure: optimized geometry

Calculated volume ... 21.047 Å³ per atom
DFT total energy ... -2.2548 eV per atom

Unit cell a=4.7212 b=4.7212 c=4.7212 alpha=90.00 beta=90.00 gamma=90.00
Last column: nearest neighbours and their distance in Å.
Fractional coordinates of all 5 atoms:
La: 0.0000 0.0000 0.0000  6 Be 2.36
Be: 0.0000 0.0000 0.5000  2 La 2.36
Be: 0.0000 0.5000 0.0000  2 La 2.36
Be: 0.5000 0.0000 0.0000  2 La 2.36
Ni: 0.5000 0.5000 0.5000  12 Be 3.34

Compound: LaBe2Ni
Source: Alexandria via LeMat-Bulk
Functional: GGA-PBEsol
Structure: optimized geometry

Calculated volume ... 15.732 Å³ per atom
DFT total energy ... -4.5501 eV per atom
E above lowest polymorph ... 2.00 eV per formula unit

Unit cell a=4.4646 b=4.4646 c=4.4646 alpha=60.00 beta=60.00 gamma=60.00
Last column: nearest neighbours and their distance in Å.
Fractional coordinates of all 4 atoms:
La: 0.0000 0.0000 0.0000  4 Be 2.73, 4 Ni 2.73
Be: 0.5000 0.5000 0.5000  4 Be 2.73, 4 Ni 2.73
Be: 0.7500 0.7500 0.7500  4 La 2.73, 4 Be 2.73
Ni: 0.2500 0.2500 0.2500  4 La 2.73, 4 Be 2.73

Compound: LaBe2Ni
Source: Alexandria via LeMat-Bulk
Functional: GGA-PBEsol
Structure: optimized geometry

Calculated volume ... 15.562 Å³ per atom
DFT total energy ... -5.0418 eV per atom
E above lowest polymorph ... 0.03 eV per formula unit

Unit cell a=5.5646 b=5.5646 c=5.5646 alpha=39.32 beta=39.32 gamma=39.32
Last column: nearest neighbours and their distance in Å.
Fractional coordinates of all 4 atoms:
La: 0.0000 0.0000 0.0000  8 Be 2.90-3.11
Be: 0.1883 0.1883 0.1883  3 Ni 2.19, 3 Be 2.26
Be: 0.8117 0.8117 0.8117  3 Ni 2.19, 3 Be 2.26
Ni: 0.5000 0.5000 0.5000  6 Be 2.19